# MnTe2Pt PBE relaxed
# - Formation energy from raw total energies: 0.16 eV/atom
# - ΔE to the lowest computed polymorph: 0.399 eV/atom
# - Final energy: -5.212 eV per atom
data_MnTe2Pt
_chemical_formula_sum 'Mn1 Te2 Pt1'
_cell_length_a 4.7458
_cell_length_b 4.7458
_cell_length_c 3.6142
_cell_angle_alpha 90.00
_cell_angle_beta 90.00
_cell_angle_gamma 90.00
_symmetry_space_group_name_H-M 'P 4/m m m'
_symmetry_Int_Tables_number 123
_symmetry_space_group_name_Hall '-P 4 2'
loop_
_atom_site_label
_atom_site_fract_x
_atom_site_fract_y
_atom_site_fract_z
Mn1 0.0000 0.0000 0.0000
Te1 0.0000 0.5000 0.5000
Pt1 0.5000 0.5000 0.0000